Record 1
## Na2CuBSO7 (GGA-PBE)

Data for Na2CuBSO7 after structural relaxation.

Results
Formation energy (no corrections) (eV/atom): -1.562
Calculated volume (Å³ per atom): 13.61

Unit cell a=5.0090 b=7.4884 c=8.7210 alpha=90.00 beta=92.80 gamma=90.00
Space group P2_1/m (No. 11)
Unique sites:
Na 0.2493 0.0062 0.2755
Cu 0.2157 0.2500 0.8514
B 0.2688 0.2500 0.5819
S 0.2721 0.7500 0.9132
O 0.0302 0.2500 0.6589
O 0.1397 0.7500 0.0650
O 0.2050 0.5871 0.8258
O 0.2995 0.2500 0.4331
O 0.4262 0.2500 0.0464
O 0.4692 0.2500 0.7008

---

Record 2
## NaCuB2Os (GGA-PBE)

Data for NaCuB2Os after structural relaxation.

Results
E_form (eV/atom): 2.789
Calculated volume (Å³ per atom): 13.29

Unit cell a=4.0743 b=4.0743 c=4.0032 alpha=90.00 beta=90.00 gamma=90.00
Space group P4/mmm (No. 123)
Unique sites:
Na 0.0000 0.0000 0.0000
Cu 0.0000 0.0000 0.5000
B 0.0000 0.5000 0.0000
Os 0.5000 0.5000 0.5000

---

Record 3
## NaCu2BP (GGA-PBE)

Data for NaCu2BP after structural relaxation.

Results
E_form (eV/atom): 1.925
Calculated volume (Å³ per atom): 17.66

Unit cell a=4.5242 b=4.5242 c=4.3129 alpha=90.00 beta=90.00 gamma=90.00
Space group P4/mmm (No. 123)
Unique sites:
Na 0.0000 0.0000 0.0000
Cu 0.0000 0.5000 0.0000
B 0.0000 0.0000 0.5000
P 0.5000 0.5000 0.5000